1.
# GGA-PBE HfTaSi3, relaxed
# Uncorrected formation energy: 0.75 eV/atom
# Total moment: 0.00 μB/f.u.
data_HfTaSi3
_symmetry_space_group_name_H-M 'P m -3 m'
_symmetry_Int_Tables_number 221
_symmetry_space_group_name_Hall '-P 4 2 3'
_cell_length_a 4.7470
_cell_length_b 4.7470
_cell_length_c 4.7470
_cell_angle_alpha 90.00
_cell_angle_beta 90.00
_cell_angle_gamma 90.00
loop_
_atom_site_label
_atom_site_type_symbol
_atom_site_fract_x
_atom_site_fract_y
_atom_site_fract_z
Hf1 Hf 0.0000 0.0000 0.0000
Ta1 Ta 0.5000 0.5000 0.5000
Si1 Si 0.0000 0.5000 0.5000

2.
# GGA-PBE Er2CdSiO6, relaxed
# Uncorrected formation energy: -2.63 eV/atom
# Total moment: 0.00 μB/f.u.
data_Er2CdSiO6
_symmetry_space_group_name_H-M 'P 4 m m'
_symmetry_Int_Tables_number 99
_cell_length_a 5.1859
_cell_length_b 5.1859
_cell_length_c 4.9843
_cell_angle_alpha 90.00
_cell_angle_beta 90.00
_cell_angle_gamma 90.00
loop_
_symmetry_equiv_pos_as_xyz
'x,y,z'
'-y,x,z'
'-x,-y,z'
'y,-x,z'
'-x,y,z'
'y,x,z'
'x,-y,z'
'-y,-x,z'
loop_
_atom_site_label
_atom_site_type_symbol
_atom_site_fract_x
_atom_site_fract_y
_atom_site_fract_z
Er1 Er 0.0000 0.5000 0.0000
Cd1 Cd 0.0000 0.0000 0.5475
Si1 Si 0.5000 0.5000 0.6291
O1 O 0.0000 0.0000 0.1271
O2 O 0.2746 0.2746 0.7495
O3 O 0.5000 0.5000 0.2927

3.
# GGA-PBE Hf2InRh, relaxed
# Formation enthalpy at 0 K: -0.30 eV per atom
# Total moment: 0.00 μB/f.u.
data_Hf2InRh
_symmetry_space_group_name_H-M 'R -3 m'
_symmetry_Int_Tables_number 166
_symmetry_space_group_name_Hall '-R 3 2"'
_cell_length_a 3.3379
_cell_length_b 3.3379
_cell_length_c 26.0674
_cell_angle_alpha 90.00
_cell_angle_beta 90.00
_cell_angle_gamma 120.00
loop_
_atom_site_label
_atom_site_type_symbol
_atom_site_fract_x
_atom_site_fract_y
_atom_site_fract_z
Hf1 Hf 0.0000 0.0000 0.2382
In1 In 0.0000 0.0000 0.0000
Rh1 Rh 0.0000 0.0000 0.5000

4.
# GGA-PBE SnTe3PbAu, relaxed
# Uncorrected formation energy: -0.21 eV/atom
# Total moment: 0.00 μB/f.u.
data_SnTe3PbAu
_symmetry_space_group_name_H-M 'P 1 21/m 1'
_symmetry_Int_Tables_number 11
_cell_length_a 9.0889
_cell_length_b 4.4404
_cell_length_c 9.8844
_cell_angle_alpha 90.00
_cell_angle_beta 103.37
_cell_angle_gamma 90.00
loop_
_symmetry_equiv_pos_as_xyz
'x,y,z'
'-x,-y,-z'
'-x,y+1/2,-z'
'x,-y+1/2,z'
loop_
_atom_site_label
_atom_site_type_symbol
_atom_site_fract_x
_atom_site_fract_y
_atom_site_fract_z
Sn1 Sn 0.1580 0.2500 0.1400
Te1 Te 0.0684 0.2500 0.8139
Te2 Te 0.2376 0.2500 0.4661
Te3 Te 0.3956 0.7500 0.1340
Pb1 Pb 0.3285 0.7500 0.8119
Au1 Au 0.4083 0.7500 0.4851